Compound: Nb2NiOs
Source: OQMD via LeMat-Bulk
Functional: PBE
Structure: optimized geometry

a = 6.2412 Å, b = 6.2412 Å, c = 6.2412 Å
α = 90.00°, β = 90.00°, γ = 90.00°
Space group F-43m (No. 216)
Asymmetric unit:
Nb (0.0000, 0.0000, 0.0000) (multiplicity 4)
Nb (0.2500, 0.2500, 0.2500) (multiplicity 4)
Ni (0.2500, 0.2500, 0.7500) (multiplicity 4)
Os (0.0000, 0.0000, 0.5000) (multiplicity 4)

Properties
The formation energy is -11 meV/atom.